Here is a relaxed CdPtAu crystal from Alexandria. Energies are from PBE-GGA.

Values from the calculation:
The value obtained for the energy above the most stable polymorph in this dataset is 0.58 kcal/mol of atoms. As for the density of states at the Fermi level: 0.34 states/eV/atom. As for the total magnetization: 0.0 μB/f.u.

Lattice parameters (Å, degrees): 4.528 5.500 9.056 90.00 90.00 90.00
Positions (direct):
Pt (0.000, 0.000, 0.648)
Cd (0.500, 0.500, 0.045)
Cd (0.500, 0.000, 0.455)
Au (0.500, 0.250, 0.750)
Cd (0.000, 0.500, 0.545)
Au (0.000, 0.750, 0.250)
Cd (0.000, 0.000, 0.955)
Au (0.500, 0.750, 0.750)
Pt (0.500, 0.000, 0.148)
Pt (0.000, 0.500, 0.852)
Pt (0.500, 0.500, 0.352)
Au (0.000, 0.250, 0.250)